Entry from Alexandria via LeMat-Bulk: a geometry-optimized ZrCu3 structure (GGA-PBEsol).

Lattice parameters (Å, degrees): 2.7526 4.3501 4.7122 90.00 90.00 90.00
Space group Pmm2 (No. 25)
Symmetry-distinct sites (fractional):
Zr 0.0000 0.0000 0.0000 [1 per cell]
Cu 0.0000 0.5000 0.6395 [1 per cell]
Cu 0.5000 0.0000 0.4973 [1 per cell]
Cu 0.5000 0.5000 0.1953 [1 per cell]


Entry from Alexandria via LeMat-Bulk: a geometry-optimized Zr2Cu structure (GGA-PBEsol).

Lattice parameters (Å, degrees): 6.6798 6.6798 4.9346 90.00 90.00 90.00
Space group I4/mcm (No. 140)
Symmetry-distinct sites (fractional):
Zr 0.1578 0.3422 0.0000 [8 per cell]
Cu 0.0000 0.0000 0.2500 [4 per cell]


Record-wise ΔE_f values, in eV per atom: 0.069 -0.123
Record-wise calculated density values, in g cm⁻³: 8.29 7.42